Compound: Mo2PtCl
Source: Alexandria via LeMat-Bulk
Functional: PBE-GGA
Structure: optimized geometry

* energy relative to the elements, uncorrected: 0.193 eV per atom
* D(E_F): 3.0 states/eV/f.u.
* ΔE to the lowest computed polymorph: 143.8 meV per atom

Cell: 2.8727 2.8727 26.0128 Å, 90.00 90.00 120.00°
Space group R-3m (No. 166, hexagonal axes)
Asymmetric unit:
Mo 0.0000 0.0000 0.2471
Pt 0.0000 0.0000 0.0000
Cl 0.0000 0.0000 0.5000

Compound: Y2AsRh
Source: Alexandria via LeMat-Bulk
Functional: PBE-GGA
Structure: optimized geometry

* energy of formation from the pure elements: -0.960 eV per atom
* D(E_F): 0.3 states/eV/f.u.

Cell: 4.0531 4.0531 20.2790 Å, 90.00 90.00 120.00°
Space group R-3m (No. 166, hexagonal axes)
Asymmetric unit:
Y 0.0000 0.0000 0.2485
As 0.0000 0.0000 0.0000
Rh 0.0000 0.0000 0.5000

Compound: Pr6Si2PI3
Source: Alexandria via LeMat-Bulk
Functional: PBE-GGA
Structure: optimized geometry

* energy relative to the elements, uncorrected: -1.101 eV per atom
* D(E_F): 5.0 states/eV/f.u.

Cell: 7.4737 12.9440 8.2036 Å, 90.00 107.67 90.00°
Space group C2/m (No. 12)
Asymmetric unit:
Pr 0.2302 0.1653 0.1948
Pr 0.2345 0.5000 0.1953
Si 0.0000 0.3335 0.0000
P 0.0000 0.0000 0.0000
I 0.0000 0.1682 0.5000
I 0.0000 0.5000 0.5000

Compound: LaDyInGe
Source: Alexandria via LeMat-Bulk
Functional: PBE-GGA
Structure: optimized geometry

* energy of formation from the pure elements: -0.510 eV per atom
* D(E_F): 2.4 states/eV/f.u.

Cell: 7.5416 7.5416 7.5416 Å, 90.00 90.00 90.00°
Space group F-43m (No. 216)
Asymmetric unit:
La 0.0000 0.0000 0.0000
Dy 0.0000 0.0000 0.5000
In 0.2500 0.2500 0.2500
Ge 0.2500 0.2500 0.7500

Compound: Li2CeSmS4
Source: Alexandria via LeMat-Bulk
Functional: PBE-GGA
Structure: optimized geometry

* energy relative to the elements, uncorrected: -1.761 eV per atom
* D(E_F): 6.2 states/eV/f.u.

Cell: 6.6061 4.0332 6.9771 Å, 90.00 110.53 90.00°
Space group P2/m (No. 10)
Asymmetric unit:
Li 0.0000 0.0000 0.0000
Li 0.0000 0.5000 0.5000
Ce 0.5000 0.0000 0.5000
Sm 0.5000 0.5000 0.0000
S 0.2439 0.5000 0.2467
S 0.2447 0.0000 0.7502

Compound: YCrRu2
Source: Alexandria via LeMat-Bulk
Functional: PBE-GGA
Structure: optimized geometry

* energy of formation from the pure elements: 0.294 eV per atom
* D(E_F): 5.7 states/eV/f.u.
* ΔE to the lowest computed polymorph: 271.2 meV per atom

Cell: 2.9195 3.8488 6.1773 Å, 90.00 90.00 90.00°
Space group Pmm2 (No. 25)
Asymmetric unit:
Y 0.0000 0.0000 0.0000
Cr 0.5000 0.5000 0.3512
Ru 0.0000 0.0000 0.4898
Ru 0.5000 0.5000 0.7297

Compound: RuS2Br
Source: Alexandria via LeMat-Bulk
Functional: PBE-GGA
Structure: optimized geometry

* energy relative to the elements, uncorrected: 0.957 eV per atom
* D(E_F): 4.9 states/eV/f.u.
* ΔE to the lowest computed polymorph: 1111.1 meV per atom

Cell: 6.3796 6.3796 6.3796 Å, 90.00 90.00 90.00°
Space group Fm-3m (No. 225)
Asymmetric unit:
Ru 0.0000 0.0000 0.0000
S 0.2500 0.2500 0.2500
Br 0.0000 0.0000 0.5000